w:
# BaTlW2

BaTlW2 after structural relaxation (PBE, Alexandria).

Structure (CIF):
```
data_BaTlW2
_chemical_formula_sum 'Ba1 Tl1 W2'
_cell_length_a 2.936
_cell_length_b 5.578
_cell_length_c 5.588
_cell_angle_alpha 90.00
_cell_angle_beta 90.00
_cell_angle_gamma 90.00
_symmetry_space_group_name_H-M 'P m m m'
_symmetry_Int_Tables_number 47
_symmetry_space_group_name_Hall '-P 2 2'
loop_
_atom_site_label
_atom_site_type_symbol
_atom_site_fract_x
_atom_site_fract_y
_atom_site_fract_z
Ba1 Ba 0.000 0.000 0.000
Tl1 Tl 0.500 0.500 0.000
W1 W 0.000 0.500 0.500
W2 W 0.500 0.000 0.500
```

Values from the calculation:
N(E_F)   1.083 states/eV/atom

x:
# BaTlW2

BaTlW2 after structural relaxation (PBE, Alexandria).

Structure (CIF):
```
data_BaTlW2
_chemical_formula_sum 'Ba2 Tl2 W4'
_cell_length_a 4.334
_cell_length_b 4.334
_cell_length_c 10.104
_cell_angle_alpha 90.00
_cell_angle_beta 90.00
_cell_angle_gamma 90.00
_symmetry_space_group_name_H-M 'I 4/m m m'
_symmetry_Int_Tables_number 139
_symmetry_space_group_name_Hall '-I 4 2'
loop_
_atom_site_label
_atom_site_type_symbol
_atom_site_fract_x
_atom_site_fract_y
_atom_site_fract_z
Ba1 Ba 0.000 0.000 0.000
Tl1 Tl 0.000 0.000 0.500
W1 W 0.000 0.500 0.250
```

Values from the calculation:
N(E_F)   1.251 states/eV/atom

y:
# BaTlW2

BaTlW2 after structural relaxation (PBE, Alexandria).

Structure (CIF):
```
data_BaTlW2
_chemical_formula_sum 'Ba3 Tl3 W6'
_cell_length_a 3.0620
_cell_length_b 3.0620
_cell_length_c 33.0636
_cell_angle_alpha 90.00
_cell_angle_beta 90.00
_cell_angle_gamma 120.00
_symmetry_space_group_name_H-M 'R -3 m'
_symmetry_Int_Tables_number 166
_symmetry_space_group_name_Hall '-R 3 2"'
loop_
_atom_site_label
_atom_site_type_symbol
_atom_site_fract_x
_atom_site_fract_y
_atom_site_fract_z
Ba1 Ba 0.0000 0.0000 0.0000
Tl1 Tl 0.0000 0.0000 0.5000
W1 W 0.0000 0.0000 0.2395
```

Values from the calculation:
N(E_F)   1.135 states/eV/atom

Verdict on stability: y comes out on top.

w:
# BaTlW2

BaTlW2 after structural relaxation (PBE, Alexandria).

Structure (CIF):
```
data_BaTlW2
_chemical_formula_sum 'Ba2 Tl2 W4'
_cell_length_a 6.246
_cell_length_b 10.757
_cell_length_c 2.942
_cell_angle_alpha 90.00
_cell_angle_beta 114.47
_cell_angle_gamma 90.00
_symmetry_space_group_name_H-M 'C 1 2/m 1'
_symmetry_Int_Tables_number 12
_symmetry_space_group_name_Hall '-C 2y'
loop_
_atom_site_label
_atom_site_type_symbol
_atom_site_fract_x
_atom_site_fract_y
_atom_site_fract_z
Ba1 Ba 0.000 0.000 0.000
Tl1 Tl 0.000 0.500 0.000
W1 W 0.250 0.250 0.500
```

Values from the calculation:
N(E_F)   0.900 states/eV/atom

x:
# BaTlW2

BaTlW2 after structural relaxation (PBE, Alexandria).

Structure (CIF):
```
data_BaTlW2
_chemical_formula_sum 'Ba2 Tl2 W4'
_cell_length_a 3.385
_cell_length_b 5.595
_cell_length_c 11.041
_cell_angle_alpha 90.00
_cell_angle_beta 90.00
_cell_angle_gamma 90.00
_symmetry_space_group_name_H-M 'I m m 2'
_symmetry_Int_Tables_number 44
_symmetry_space_group_name_Hall 'I 2 -2'
loop_
_atom_site_label
_atom_site_type_symbol
_atom_site_fract_x
_atom_site_fract_y
_atom_site_fract_z
Ba1 Ba 0.000 0.000 0.000
Tl1 Tl 0.000 0.500 0.796
W1 W 0.000 0.000 0.557
W2 W 0.000 0.500 0.215
```

Values from the calculation:
N(E_F)   0.851 states/eV/atom

y:
# BaTlW2

BaTlW2 after structural relaxation (PBE, Alexandria).

Structure (CIF):
```
data_BaTlW2
_chemical_formula_sum 'Ba2 Tl2 W4'
_cell_length_a 6.178
_cell_length_b 10.431
_cell_length_c 2.893
_cell_angle_alpha 90.00
_cell_angle_beta 90.00
_cell_angle_gamma 90.00
_symmetry_space_group_name_H-M 'C m m m'
_symmetry_Int_Tables_number 65
_symmetry_space_group_name_Hall '-C 2 2'
loop_
_atom_site_label
_atom_site_type_symbol
_atom_site_fract_x
_atom_site_fract_y
_atom_site_fract_z
Ba1 Ba 0.000 0.000 0.000
Tl1 Tl 0.000 0.500 0.000
W1 W 0.250 0.250 0.500
```

Values from the calculation:
N(E_F)   1.055 states/eV/atom

Verdict on stability: x comes out on top.

w:
# BaTl2W

BaTl2W after structural relaxation (PBE, Alexandria).

Structure (CIF):
```
data_BaTl2W
_chemical_formula_sum 'Ba3 Tl6 W3'
_cell_length_a 3.3010
_cell_length_b 3.3010
_cell_length_c 32.6266
_cell_angle_alpha 90.00
_cell_angle_beta 90.00
_cell_angle_gamma 120.00
_symmetry_space_group_name_H-M 'R -3 m'
_symmetry_Int_Tables_number 166
_symmetry_space_group_name_Hall '-R 3 2"'
loop_
_atom_site_label
_atom_site_type_symbol
_atom_site_fract_x
_atom_site_fract_y
_atom_site_fract_z
Ba1 Ba 0.0000 0.0000 0.0000
Tl1 Tl 0.0000 0.0000 0.2390
W1 W 0.0000 0.0000 0.5000
```

Values from the calculation:
N(E_F)   0.879 states/eV/atom

x:
# BaTl2W

BaTl2W after structural relaxation (PBE, Alexandria).

Structure (CIF):
```
data_BaTl2W
_chemical_formula_sum 'Ba4 Tl8 W4'
_cell_length_a 7.704
_cell_length_b 7.704
_cell_length_c 7.704
_cell_angle_alpha 90.00
_cell_angle_beta 90.00
_cell_angle_gamma 90.00
_symmetry_space_group_name_H-M 'F m -3 m'
_symmetry_Int_Tables_number 225
_symmetry_space_group_name_Hall '-F 4 2 3'
loop_
_atom_site_label
_atom_site_type_symbol
_atom_site_fract_x
_atom_site_fract_y
_atom_site_fract_z
Ba1 Ba 0.000 0.000 0.000
Tl1 Tl 0.250 0.250 0.250
W1 W 0.000 0.000 0.500
```

Values from the calculation:
N(E_F)   0.558 states/eV/atom

Verdict on stability: w comes out on top.

w:
# BaYTl3

BaYTl3 after structural relaxation (PBE, Alexandria).

Structure (CIF):
```
data_BaYTl3
_chemical_formula_sum 'Ba1 Y1 Tl3'
_cell_length_a 6.119
_cell_length_b 6.119
_cell_length_c 6.119
_cell_angle_alpha 90.00
_cell_angle_beta 90.00
_cell_angle_gamma 90.00
_symmetry_space_group_name_H-M 'P m -3 m'
_symmetry_Int_Tables_number 221
_symmetry_space_group_name_Hall '-P 4 2 3'
loop_
_atom_site_label
_atom_site_type_symbol
_atom_site_fract_x
_atom_site_fract_y
_atom_site_fract_z
Ba1 Ba 0.000 0.000 0.000
Y1 Y 0.500 0.500 0.500
Tl1 Tl 0.000 0.000 0.500
```

Values from the calculation:
N(E_F)   1.982 states/eV/atom

x:
# BaYTl3

BaYTl3 after structural relaxation (PBE, Alexandria).

Structure (CIF):
```
data_BaYTl3
_chemical_formula_sum 'Ba1 Y1 Tl3'
_cell_length_a 5.895
_cell_length_b 5.895
_cell_length_c 5.895
_cell_angle_alpha 90.00
_cell_angle_beta 90.00
_cell_angle_gamma 90.00
_symmetry_space_group_name_H-M 'P m -3 m'
_symmetry_Int_Tables_number 221
_symmetry_space_group_name_Hall '-P 4 2 3'
loop_
_atom_site_label
_atom_site_type_symbol
_atom_site_fract_x
_atom_site_fract_y
_atom_site_fract_z
Ba1 Ba 0.000 0.000 0.000
Y1 Y 0.500 0.500 0.500
Tl1 Tl 0.000 0.500 0.500
```

Values from the calculation:
N(E_F)   1.197 states/eV/atom

Verdict on stability: x comes out on top.

w:
# Ba2Tl2Zn

Ba2Tl2Zn after structural relaxation (PBE, Alexandria).

Structure (CIF):
```
data_Ba2Tl2Zn
_chemical_formula_sum 'Ba8 Tl8 Zn4'
_cell_length_a 12.664
_cell_length_b 5.001
_cell_length_c 12.834
_cell_angle_alpha 90.00
_cell_angle_beta 118.30
_cell_angle_gamma 90.00
_symmetry_space_group_name_H-M 'C 1 2/m 1'
_symmetry_Int_Tables_number 12
_symmetry_space_group_name_Hall '-C 2y'
loop_
_atom_site_label
_atom_site_type_symbol
_atom_site_fract_x
_atom_site_fract_y
_atom_site_fract_z
Ba1 Ba 0.016 0.000 0.344
Ba2 Ba 0.190 0.000 0.111
Tl1 Tl 0.018 0.500 0.878
Tl2 Tl 0.158 0.500 0.565
Zn1 Zn 0.218 0.500 0.345
```

Values from the calculation:
N(E_F)   1.014 states/eV/atom

x:
# Ba2Tl2Zn

Ba2Tl2Zn after structural relaxation (PBE, Alexandria).

Structure (CIF):
```
data_Ba2Tl2Zn
_chemical_formula_sum 'Ba4 Tl4 Zn2'
_cell_length_a 9.836
_cell_length_b 9.836
_cell_length_c 4.236
_cell_angle_alpha 90.00
_cell_angle_beta 90.00
_cell_angle_gamma 90.00
_symmetry_space_group_name_H-M 'P 4/m b m'
_symmetry_Int_Tables_number 127
_symmetry_space_group_name_Hall '-P 4 2ab'
loop_
_atom_site_label
_atom_site_type_symbol
_atom_site_fract_x
_atom_site_fract_y
_atom_site_fract_z
Ba1 Ba 0.184 0.316 0.000
Tl1 Tl 0.113 0.613 0.500
Zn1 Zn 0.000 0.000 0.000
```

Values from the calculation:
N(E_F)   1.172 states/eV/atom

y:
# Ba2Tl2Zn

Ba2Tl2Zn after structural relaxation (PBE, Alexandria).

Structure (CIF):
```
data_Ba2Tl2Zn
_chemical_formula_sum 'Ba4 Tl4 Zn2'
_cell_length_a 8.180
_cell_length_b 8.180
_cell_length_c 5.424
_cell_angle_alpha 90.00
_cell_angle_beta 90.00
_cell_angle_gamma 90.00
_symmetry_space_group_name_H-M 'P 4/m b m'
_symmetry_Int_Tables_number 127
_symmetry_space_group_name_Hall '-P 4 2ab'
loop_
_atom_site_label
_atom_site_type_symbol
_atom_site_fract_x
_atom_site_fract_y
_atom_site_fract_z
Ba1 Ba 0.163 0.337 0.000
Tl1 Tl 0.143 0.643 0.500
Zn1 Zn 0.000 0.000 0.500
```

Values from the calculation:
N(E_F)   1.015 states/eV/atom

z:
# Ba2Tl2Zn

Ba2Tl2Zn after structural relaxation (PBE, Alexandria).

Structure (CIF):
```
data_Ba2Tl2Zn
_chemical_formula_sum 'Ba4 Tl4 Zn2'
_cell_length_a 6.874
_cell_length_b 6.874
_cell_length_c 8.799
_cell_angle_alpha 90.00
_cell_angle_beta 90.00
_cell_angle_gamma 90.00
_symmetry_space_group_name_H-M 'I 4/m m m'
_symmetry_Int_Tables_number 139
_symmetry_space_group_name_Hall '-I 4 2'
loop_
_atom_site_label
_atom_site_type_symbol
_atom_site_fract_x
_atom_site_fract_y
_atom_site_fract_z
Ba1 Ba 0.000 0.500 0.250
Tl1 Tl 0.000 0.000 0.165
Zn1 Zn 0.000 0.000 0.500
```

Values from the calculation:
N(E_F)   0.779 states/eV/atom

Verdict on stability: w comes out on top.